Entry 1:
Density functional theory data (PBE-GGA) for an optimized crystal structure of AcTlS2.

abc: 3.765 3.765 7.655
angles: 90.00 90.00 90.00
Element x y z (fractional)
Ac (0.000, 0.000, 0.000)
Tl (0.000, 0.000, 0.500)
S (0.500, 0.500, 0.217)
S (0.500, 0.500, 0.783)

Results
ΔE_f (raw)	-1.296	eV/atom
VASP energy	-4.9783	eV/atom
M_tot	0.00	μB per cell
space-group type	No. 123

Entry 2:
Density functional theory data (PBE-GGA) for an optimized crystal structure of Ac3TlS.

abc: 10.031 4.265 16.854
angles: 90.00 90.00 90.00
Element x y z (fractional)
Ac (0.015, 0.250, 0.109)
Ac (0.157, 0.750, 0.310)
Ac (0.168, 0.250, 0.533)
Ac (0.332, 0.750, 0.033)
Ac (0.343, 0.250, 0.810)
Ac (0.485, 0.750, 0.609)
Ac (0.515, 0.250, 0.391)
Ac (0.657, 0.750, 0.190)
Ac (0.668, 0.250, 0.967)
Ac (0.832, 0.750, 0.467)
Ac (0.843, 0.250, 0.690)
Ac (0.985, 0.750, 0.891)
Tl (0.136, 0.750, 0.699)
Tl (0.364, 0.250, 0.199)
Tl (0.636, 0.750, 0.801)
Tl (0.864, 0.250, 0.301)
S (0.169, 0.250, 0.954)
S (0.331, 0.750, 0.454)
S (0.669, 0.250, 0.546)
S (0.831, 0.750, 0.046)

Results
ΔE_f (raw)	-0.905	eV/atom
VASP energy	-4.6692	eV/atom
M_tot	0.00	μB per cell
offset from the most stable computed form	0.000	eV per atom
space-group type	No. 62

Entry 3:
Density functional theory data (PBE-GGA) for an optimized crystal structure of Ac3TlS.

abc: 5.755 5.755 5.755
angles: 90.00 90.00 90.00
Element x y z (fractional)
Ac (0.000, 0.000, 0.500)
Ac (0.000, 0.500, 0.000)
Ac (0.500, 0.000, 0.000)
Tl (0.500, 0.500, 0.500)
S (0.000, 0.000, 0.000)

Results
ΔE_f (raw)	-0.759	eV/atom
VASP energy	-4.5228	eV/atom
M_tot	0.00	μB per cell
offset from the most stable computed form	0.146	eV per atom
space-group type	No. 221

Entry 4:
Density functional theory data (PBE-GGA) for an optimized crystal structure of AcTl2S3.

abc: 8.129 8.129 5.779
angles: 90.00 90.00 86.98
Element x y z (fractional)
Ac (0.127, 0.873, 0.750)
Ac (0.873, 0.127, 0.250)
Tl (0.339, 0.339, 0.000)
Tl (0.339, 0.339, 0.500)
Tl (0.661, 0.661, 0.000)
Tl (0.661, 0.661, 0.500)
S (0.043, 0.226, 0.750)
S (0.226, 0.043, 0.250)
S (0.323, 0.677, 0.250)
S (0.677, 0.323, 0.750)
S (0.774, 0.957, 0.750)
S (0.957, 0.774, 0.250)

Results
ΔE_f (raw)	-0.563	eV/atom
VASP energy	-4.0997	eV/atom
M_tot	0.00	μB per cell
space-group type	No. 63

Entry 5:
Density functional theory data (PBE-GGA) for an optimized crystal structure of AcTlS2.

abc: 4.434 4.434 22.303
angles: 90.00 90.00 120.00
Element x y z (fractional)
Ac (0.000, 0.000, 0.000)
Ac (0.333, 0.667, 0.667)
Ac (0.667, 0.333, 0.333)
Tl (0.000, 0.000, 0.500)
Tl (0.333, 0.667, 0.167)
Tl (0.667, 0.333, 0.833)
S (0.000, 0.000, 0.263)
S (0.000, 0.000, 0.737)
S (0.333, 0.667, 0.404)
S (0.333, 0.667, 0.930)
S (0.667, 0.333, 0.070)
S (0.667, 0.333, 0.596)

Results
ΔE_f (raw)	-1.500	eV/atom
VASP energy	-5.1825	eV/atom
M_tot	0.00	μB per cell
space-group type	No. 166

Entry 6:
Density functional theory data (PBE-GGA) for an optimized crystal structure of Ac2TlS.

abc: 4.351 4.351 24.877
angles: 90.00 90.00 120.00
Element x y z (fractional)
Ac (0.000, 0.000, 0.238)
Ac (0.000, 0.000, 0.762)
Ac (0.333, 0.667, 0.429)
Ac (0.333, 0.667, 0.905)
Ac (0.667, 0.333, 0.095)
Ac (0.667, 0.333, 0.571)
Tl (0.000, 0.000, 0.000)
Tl (0.333, 0.667, 0.667)
Tl (0.667, 0.333, 0.333)
S (0.000, 0.000, 0.500)
S (0.333, 0.667, 0.167)
S (0.667, 0.333, 0.833)

Results
ΔE_f (raw)	-1.109	eV/atom
VASP energy	-4.7865	eV/atom
M_tot	0.00	μB per cell
offset from the most stable computed form	0.000	eV per atom
space-group type	No. 166

Entry 7:
Density functional theory data (PBE-GGA) for an optimized crystal structure of AcTl5S4.

abc: 9.716 9.716 8.556
angles: 110.90 110.90 25.83
Element x y z (fractional)
Ac (0.000, 0.000, 0.000)
Tl (0.000, 0.000, 0.500)
Tl (0.309, 0.309, 0.691)
Tl (0.342, 0.342, 0.190)
Tl (0.658, 0.658, 0.810)
Tl (0.691, 0.691, 0.309)
S (0.164, 0.164, 0.049)
S (0.467, 0.467, 0.744)
S (0.533, 0.533, 0.256)
S (0.836, 0.836, 0.951)

Results
ΔE_f (raw)	-0.797	eV/atom
VASP energy	-4.0416	eV/atom
M_tot	0.00	μB per cell
space-group type	No. 12

Entry 8:
Density functional theory data (PBE-GGA) for an optimized crystal structure of Ac4Tl2S.

abc: 13.505 4.689 9.545
angles: 90.00 123.16 90.00
Element x y z (fractional)
Ac (0.083, 0.000, 0.364)
Ac (0.167, 0.500, 0.080)
Ac (0.333, 0.000, 0.920)
Ac (0.417, 0.500, 0.636)
Ac (0.583, 0.500, 0.364)
Ac (0.667, 0.000, 0.080)
Ac (0.833, 0.500, 0.920)
Ac (0.917, 0.000, 0.636)
Tl (0.129, 0.500, 0.669)
Tl (0.371, 0.000, 0.331)
Tl (0.629, 0.000, 0.669)
Tl (0.871, 0.500, 0.331)
S (0.000, 0.000, 0.000)
S (0.500, 0.500, 0.000)

Results
ΔE_f (raw)	-0.752	eV/atom
VASP energy	-4.3650	eV/atom
M_tot	0.00	μB per cell
space-group type	No. 12

Entry 9:
Density functional theory data (PBE-GGA) for an optimized crystal structure of AcTlS2.

abc: 4.416 4.416 22.752
angles: 90.00 90.00 120.00
Element x y z (fractional)
Ac (0.000, 0.000, 0.000)
Ac (0.333, 0.667, 0.667)
Ac (0.667, 0.333, 0.333)
Tl (0.000, 0.000, 0.172)
Tl (0.333, 0.667, 0.839)
Tl (0.667, 0.333, 0.506)
S (0.000, 0.000, 0.400)
S (0.000, 0.000, 0.594)
S (0.333, 0.667, 0.066)
S (0.333, 0.667, 0.261)
S (0.667, 0.333, 0.733)
S (0.667, 0.333, 0.927)

Results
ΔE_f (raw)	-1.471	eV/atom
VASP energy	-5.1536	eV/atom
M_tot	0.00	μB per cell
space-group type	No. 160

Entry 10:
Density functional theory data (PBE-GGA) for an optimized crystal structure of Ac2TlS4.

abc: 15.065 4.408 7.698
angles: 90.00 118.50 90.00
Element x y z (fractional)
Ac (0.217, 0.000, 0.211)
Ac (0.283, 0.500, 0.789)
Ac (0.717, 0.500, 0.211)
Ac (0.783, 0.000, 0.789)
Tl (0.000, 0.500, 0.500)
Tl (0.500, 0.000, 0.500)
S (0.126, 0.500, 0.928)
S (0.149, 0.000, 0.518)
S (0.351, 0.500, 0.482)
S (0.374, 0.000, 0.072)
S (0.626, 0.000, 0.928)
S (0.649, 0.500, 0.518)
S (0.851, 0.000, 0.482)
S (0.874, 0.500, 0.072)

Results
ΔE_f (raw)	-1.469	eV/atom
VASP energy	-5.3394	eV/atom
M_tot	0.00	μB per cell
space-group type	No. 12